1.
Computed, not measured: a geometry-optimized V6PbO15 structure at the GGA-PBEsol level of DFT.

energy relative to the elements, uncorrected = -4765 kJ/mol of formula units
total energy = -8.633 eV per atom

Structure (POSCAR):
```
V6PbO15
1.0
7.673 -1.822 0.000
7.673 1.822 0.000
-3.462 0.000 9.406
V Pb O
6 1 15
Cartesian
0.000 0.000 0.000
2.253 0.000 7.511
4.043 0.000 4.560
5.631 0.000 7.375
11.931 0.000 0.110
13.334 0.000 2.817
8.397 0.000 4.629
-2.404 0.000 7.730
-0.495 0.000 3.484
1.108 0.000 1.129
1.085 0.000 6.330
2.514 0.000 4.002
1.180 0.000 9.128
3.748 0.000 6.330
5.233 0.000 2.984
4.021 0.000 8.888
6.278 0.000 5.851
7.040 0.000 8.437
11.346 0.000 1.617
10.062 0.000 7.847
12.178 0.000 4.426
13.799 0.000 1.047
```

2.
Computed, not measured: a geometry-optimized PbWO4 structure at the GGA-PBEsol level of DFT.

energy relative to the elements, uncorrected = -1083 kJ/mol of formula units
relative energy among the computed polymorphs = 25 meV/atom
total energy = -8.337 eV per atom

Structure (POSCAR):
```
PbWO4
1.0
-2.732 2.732 5.949
2.732 -2.732 5.949
2.732 2.732 -5.949
Pb W O
2 2 8
Cartesian
0.000 1.366 1.487
2.732 1.366 4.462
2.732 1.366 -1.487
0.000 1.366 7.436
4.000 0.566 -0.491
3.532 -0.098 2.484
0.800 -0.098 3.465
1.464 2.166 -0.491
1.268 0.566 6.439
1.932 2.830 2.484
-0.800 2.830 3.465
-1.268 2.166 6.439
```

3.
Computed, not measured: a geometry-optimized PbWO4 structure at the GGA-PBEsol level of DFT.

energy relative to the elements, uncorrected = -1097 kJ/mol of formula units
relative energy among the computed polymorphs = 0 meV/atom
total energy = -8.362 eV per atom

Structure (POSCAR):
```
PbWO4
1.0
5.583 0.000 0.000
0.000 4.991 0.000
-4.381 0.000 12.885
Pb W O
4 4 16
Cartesian
0.269 1.009 1.968
-1.921 1.487 8.410
3.123 3.504 4.475
0.933 3.982 10.917
0.327 1.245 5.449
-1.864 1.251 11.892
3.066 3.741 0.993
0.875 3.746 7.436
-1.016 0.586 4.459
-3.206 1.910 10.901
-0.591 2.731 6.171
-2.781 4.756 12.613
-0.283 0.293 7.207
1.907 2.202 0.765
-0.933 0.563 10.489
1.257 1.933 4.046
-0.055 3.058 8.839
2.135 4.429 2.396
-0.705 2.789 12.120
1.485 4.698 5.678
3.983 0.236 0.272
1.793 2.260 6.714
4.408 3.082 1.984
2.218 4.405 8.426
```

4.
Computed, not measured: a geometry-optimized PbWO4 structure at the GGA-PBEsol level of DFT.

energy relative to the elements, uncorrected = -1078 kJ/mol of formula units
relative energy among the computed polymorphs = 34 meV/atom
total energy = -8.329 eV per atom

Structure (POSCAR):
```
PbWO4
1.0
3.670 -5.755 0.000
3.670 5.755 0.000
-3.021 0.000 3.998
Pb W O
2 2 8
Cartesian
1.404 4.204 2.998
2.915 -4.204 0.999
2.915 1.101 0.999
1.404 -1.101 2.998
1.596 2.290 1.289
-0.329 0.406 3.277
1.182 -0.406 1.278
4.234 2.290 0.710
0.085 -2.290 3.288
3.138 0.406 2.720
4.648 -0.406 0.721
2.724 -2.290 2.709
```